Entry 1:
Compound: Ca2Mg12Hg7
Source: Alexandria
Functional: GGA-PBE
Structure: optimized geometry

```
data_Ca2Mg12Hg7
_cell_length_a 4.2658
_cell_length_b 11.6407
_cell_length_c 11.6407
_cell_angle_alpha 120.00
_cell_angle_beta 90.00
_cell_angle_gamma 90.00
_space_group_name_H-M_alt 'P 1'
_space_group_IT_number 1
loop_
_space_group_symop_operation_xyz
'x,y,z'
loop_
_atom_site_label
_atom_site_fract_x
_atom_site_fract_y
_atom_site_fract_z
Hg1 0.5000 0.0000 0.0000
Hg2 0.2502 0.7113 0.5747
Hg3 0.7498 0.5747 0.8634
Hg4 0.2502 0.8634 0.2887
Hg5 0.2502 0.4253 0.1366
Hg6 0.7498 0.2887 0.4253
Hg7 0.7498 0.1366 0.7113
Ca1 0.7491 0.6667 0.3333
Ca2 0.2509 0.3333 0.6667
Mg1 0.2506 0.9520 0.5674
Mg2 0.7555 0.8455 0.1076
Mg3 0.7555 0.8924 0.7379
Mg4 0.7494 0.3846 0.9520
Mg5 0.2445 0.7379 0.8455
Mg6 0.2506 0.4326 0.3846
Mg7 0.2445 0.1545 0.8924
Mg8 0.2506 0.6154 0.0480
Mg9 0.7555 0.2621 0.1545
Mg10 0.7494 0.5674 0.6154
Mg11 0.7494 0.0480 0.4326
Mg12 0.2445 0.1076 0.2621
```

=====

Entry 2:
Compound: Mg2ZnCoAu
Source: Alexandria
Functional: GGA-PBE
Structure: optimized geometry

```
data_Mg2ZnCoAu
_cell_length_a 4.8230
_cell_length_b 4.3764
_cell_length_c 4.8230
_cell_angle_alpha 90.00
_cell_angle_beta 90.00
_cell_angle_gamma 90.00
_space_group_name_H-M_alt 'P 1'
_space_group_IT_number 1
loop_
_space_group_symop_operation_xyz
'x,y,z'
loop_
_atom_site_label
_atom_site_fract_x
_atom_site_fract_y
_atom_site_fract_z
Au1 0.5000 0.5000 0.5000
Mg1 0.5000 0.0000 0.0000
Mg2 0.0000 0.0000 0.5000
Co1 0.0000 0.5000 0.0000
Zn1 0.0000 0.0000 0.0000
```

=====

Entry 3:
Compound: Tb2Dy3Ho6Tm
Source: Alexandria
Functional: GGA-PBE
Structure: optimized geometry

```
data_Tb2Dy3Ho6Tm
_cell_length_a 6.0994
_cell_length_b 6.0994
_cell_length_c 11.6749
_cell_angle_alpha 94.97
_cell_angle_beta 94.97
_cell_angle_gamma 119.94
_space_group_name_H-M_alt 'P 1'
_space_group_IT_number 1
loop_
_space_group_symop_operation_xyz
'x,y,z'
loop_
_atom_site_label
_atom_site_fract_x
_atom_site_fract_y
_atom_site_fract_z
Ho1 0.2495 0.2495 0.7500
Ho2 0.4163 0.0834 0.2499
Ho3 0.0834 0.4163 0.2499
Ho4 0.7505 0.7505 0.2500
Ho5 0.9166 0.5837 0.7501
Ho6 0.5837 0.9166 0.7501
Tb1 0.3334 0.6666 0.0000
Tb2 0.6666 0.3334 0.0000
Dy1 0.8335 0.1665 0.5000
Dy2 0.1665 0.8335 0.5000
Dy3 0.5000 0.5000 0.5000
Tm1 0.0000 0.0000 0.0000
```

=====

Entry 4:
# RbHfSeO5, optimized geometry, DFT GGA-PBE
# Formation energy without anion corrections   -1806.9 meV per atom
data_RbHfSeO5
_cell_length_a 6.1712
_cell_length_b 6.1712
_cell_length_c 7.7566
_cell_angle_alpha 104.79
_cell_angle_beta 104.79
_cell_angle_gamma 105.55
_space_group_name_H-M_alt 'P 1'
_space_group_IT_number 1
loop_
_space_group_symop_operation_xyz
'x,y,z'
loop_
_atom_site_label
_atom_site_fract_x
_atom_site_fract_y
_atom_site_fract_z
O1 0.8805 0.2869 0.1124
O2 0.6228 0.7803 0.9031
O3 0.7131 0.1195 0.3876
O4 0.2197 0.3772 0.5969
O5 0.7803 0.6228 0.4031
O6 0.0540 0.9460 0.2500
O7 0.3772 0.2197 0.0969
O8 0.2869 0.8805 0.6124
O9 0.9460 0.0540 0.7500
O10 0.1195 0.7131 0.8876
Rb1 0.3301 0.6699 0.2500
Rb2 0.6699 0.3301 0.7500
Hf1 0.0000 0.0000 0.0000
Hf2 0.0000 0.0000 0.5000
Se1 0.6882 0.3118 0.2500
Se2 0.3118 0.6882 0.7500

=====

| no. | total DFT energy (no corrections) (eV for the cell shown) | M_tot (μB/f.u.) |
| --- | --- | --- |
| 1 | -30.767 | 0.00 |
| 2 | -12.321 | 1.28 |
| 3 | -54.789 | 0.00 |
| 4 | -107.304 | 0.00 |